Compound: LiBeTe3
Source: the Alexandria database
Functional: PBE
Structure: relaxed

CIF file:
```
data_LiBeTe3
_cell_length_a 5.044
_cell_length_b 5.044
_cell_length_c 5.044
_cell_angle_alpha 90.00
_cell_angle_beta 90.00
_cell_angle_gamma 90.00
_symmetry_space_group_name_H-M 'P m -3 m'
_symmetry_Int_Tables_number 221
_symmetry_space_group_name_Hall '-P 4 2 3'
loop_
_atom_site_label
_atom_site_type_symbol
_atom_site_fract_x
_atom_site_fract_y
_atom_site_fract_z
Li1 Li 0.000 0.000 0.000
Be1 Be 0.500 0.500 0.500
Te1 Te 0.000 0.000 0.500
```

Raw formation energy ... 3.54 eV/f.u.
Distance to the lowest polymorph of the same formula ... 13.76 kcal/mol of atoms
Crystal system ... cubic
Magnetic moment ... 0.00 μB/f.u.

---

Compound: Li3BeTe
Source: the Alexandria database
Functional: PBE
Structure: relaxed

CIF file:
```
data_Li3BeTe
_cell_length_a 4.602
_cell_length_b 4.602
_cell_length_c 4.602
_cell_angle_alpha 90.00
_cell_angle_beta 90.00
_cell_angle_gamma 90.00
_symmetry_space_group_name_H-M 'P m -3 m'
_symmetry_Int_Tables_number 221
_symmetry_space_group_name_Hall '-P 4 2 3'
loop_
_atom_site_label
_atom_site_type_symbol
_atom_site_fract_x
_atom_site_fract_y
_atom_site_fract_z
Li1 Li 0.000 0.000 0.500
Be1 Be 0.000 0.000 0.000
Te1 Te 0.500 0.500 0.500
```

Raw formation energy ... 0.71 eV/f.u.
Distance to the lowest polymorph of the same formula ... 0.17 kcal/mol of atoms
Crystal system ... cubic
Magnetic moment ... 0.99 μB/f.u.

---

Compound: LiBe2Te
Source: the Alexandria database
Functional: PBE
Structure: relaxed

CIF file:
```
data_LiBe2Te
_cell_length_a 7.495
_cell_length_b 3.736
_cell_length_c 4.973
_cell_angle_alpha 90.00
_cell_angle_beta 104.07
_cell_angle_gamma 90.00
_symmetry_space_group_name_H-M 'C 1 m 1'
_symmetry_Int_Tables_number 8
loop_
_symmetry_equiv_pos_as_xyz
'x,y,z'
'x,-y,z'
'x+1/2,y+1/2,z'
'x+1/2,-y+1/2,z'
loop_
_atom_site_label
_atom_site_type_symbol
_atom_site_fract_x
_atom_site_fract_y
_atom_site_fract_z
Li1 Li 0.000 0.000 0.000
Be1 Be 0.218 0.500 0.299
Be2 Be 0.408 0.000 0.272
Te1 Te 0.233 0.000 0.623
```

Raw formation energy ... 0.79 eV/f.u.
Crystal system ... monoclinic
Magnetic moment ... 0.00 μB/f.u.